# PBE-GGA RbTl3, relaxed
data_RbTl3
_chemical_formula_sum 'Rb2 Tl6'
_space_group_name_H-M_alt 'P 1'
_space_group_IT_number 1
_space_group_name_Hall 'P 1'
_cell_length_a 8.272
_cell_length_b 8.272
_cell_length_c 5.318
_cell_angle_alpha 90.00
_cell_angle_beta 90.00
_cell_angle_gamma 120.00
loop_
_atom_site_label
_atom_site_fract_x
_atom_site_fract_y
_atom_site_fract_z
Tl1 0.862 0.725 0.750
Tl2 0.275 0.138 0.750
Tl3 0.862 0.138 0.750
Tl4 0.138 0.275 0.250
Tl5 0.725 0.862 0.250
Tl6 0.138 0.862 0.250
Rb1 0.333 0.667 0.750
Rb2 0.667 0.333 0.250
# - Symmetry: P6_3/mmc (194)
# - Energy of formation from the pure elements: -0.067 eV/atom



# PBE-GGA Dy5AgPd4, relaxed
data_Dy5AgPd4
_chemical_formula_sum 'Dy5 Ag1 Pd4'
_space_group_name_H-M_alt 'P 1'
_space_group_IT_number 1
_space_group_name_Hall 'P 1'
_cell_length_a 3.522
_cell_length_b 3.522
_cell_length_c 17.794
_cell_angle_alpha 90.00
_cell_angle_beta 90.00
_cell_angle_gamma 90.00
loop_
_atom_site_label
_atom_site_fract_x
_atom_site_fract_y
_atom_site_fract_z
Pd1 0.000 0.000 0.402
Pd2 0.000 0.000 0.598
Pd3 0.000 0.000 0.203
Pd4 0.000 0.000 0.797
Dy1 0.500 0.500 0.107
Dy2 0.500 0.500 0.500
Dy3 0.500 0.500 0.303
Dy4 0.500 0.500 0.697
Dy5 0.500 0.500 0.893
Ag1 0.000 0.000 0.000
# - Symmetry: P4/mmm (123)
# - Energy of formation from the pure elements: -0.767 eV/atom



# PBE-GGA Co3As2, relaxed
data_Co3As2
_chemical_formula_sum 'Co6 As4'
_space_group_name_H-M_alt 'P 1'
_space_group_IT_number 1
_space_group_name_Hall 'P 1'
_cell_length_a 4.627
_cell_length_b 5.856
_cell_length_c 6.122
_cell_angle_alpha 118.57
_cell_angle_beta 112.20
_cell_angle_gamma 90.00
loop_
_atom_site_label
_atom_site_fract_x
_atom_site_fract_y
_atom_site_fract_z
Co1 0.901 0.259 0.803
Co2 0.099 0.741 0.197
Co3 0.401 0.543 0.803
Co4 0.599 0.457 0.197
Co5 0.750 0.000 0.000
Co6 0.250 0.000 0.000
As1 0.158 0.409 0.316
As2 0.658 0.907 0.316
As3 0.342 0.093 0.684
As4 0.842 0.591 0.684
# - Symmetry: Ibam (72)
# - Energy of formation from the pure elements: -0.127 eV/atom



# PBE-GGA KZrPO2, relaxed
data_KZrPO2
_chemical_formula_sum 'K1 Zr1 P1 O2'
_space_group_name_H-M_alt 'P 1'
_space_group_IT_number 1
_space_group_name_Hall 'P 1'
_cell_length_a 4.246
_cell_length_b 4.246
_cell_length_c 5.392
_cell_angle_alpha 90.00
_cell_angle_beta 90.00
_cell_angle_gamma 90.00
loop_
_atom_site_label
_atom_site_fract_x
_atom_site_fract_y
_atom_site_fract_z
Zr1 0.000 0.000 0.000
P1 0.000 0.000 0.500
K1 0.500 0.500 0.500
O1 0.500 0.000 0.000
O2 0.000 0.500 0.000
# - Symmetry: P4/mmm (123)
# - Excess energy over the best structure of this formula in the dataset: 0 meV per atom
# - Formation energy without anion corrections: -1.438 eV/atom



# PBE-GGA Be2CuSnSb, relaxed
data_Be2CuSnSb
_chemical_formula_sum 'Be2 Cu1 Sn1 Sb1'
_space_group_name_H-M_alt 'P 1'
_space_group_IT_number 1
_space_group_name_Hall 'P 1'
_cell_length_a 4.500
_cell_length_b 5.196
_cell_length_c 4.500
_cell_angle_alpha 90.00
_cell_angle_beta 90.00
_cell_angle_gamma 90.00
loop_
_atom_site_label
_atom_site_fract_x
_atom_site_fract_y
_atom_site_fract_z
Be1 0.000 0.000 0.500
Be2 0.500 0.000 0.000
Cu1 0.000 0.500 0.000
Sn1 0.000 0.000 0.000
Sb1 0.500 0.500 0.500
# - Symmetry: P4/mmm (123)
# - Formation energy without anion corrections: 0.958 eV/atom



# PBE-GGA AcCe5Sb6, relaxed
data_AcCe5Sb6
_chemical_formula_sum 'Ac1 Ce5 Sb6'
_space_group_name_H-M_alt 'P 1'
_space_group_IT_number 1
_space_group_name_Hall 'P 1'
_cell_length_a 7.896
_cell_length_b 7.890
_cell_length_c 7.891
_cell_angle_alpha 60.01
_cell_angle_beta 80.40
_cell_angle_gamma 70.51
loop_
_atom_site_label
_atom_site_fract_x
_atom_site_fract_y
_atom_site_fract_z
Ce1 0.500 0.163 0.673
Ce2 0.500 0.837 0.327
Ce3 0.000 0.332 0.336
Ce4 0.000 0.668 0.664
Ce5 0.500 0.500 0.000
Sb1 0.743 0.429 0.657
Sb2 0.254 0.259 0.000
Sb3 0.257 0.571 0.343
Sb4 0.743 0.086 0.343
Sb5 0.257 0.914 0.657
Sb6 0.746 0.741 0.000
Ac1 0.000 0.000 0.000
# - Symmetry: C2/m (12)
# - Formation energy without anion corrections: -1.058 eV/atom